# Nd2HoErS6

An optimized crystal structure of Nd2HoErS6 (PBE, Alexandria via LeMat-Bulk).

Values from the calculation:
* total magnetization: 0.00 μB/f.u.
* formation energy from raw total energies: -2.04 eV per atom

POSCAR file:
```
Nd2HoErS6
1.0
7.036 0.000 0.000
3.518 6.093 0.000
3.518 2.031 6.179
Nd Ho Er S
2 1 1 6
Cartesian
7.036 4.062 2.668
3.518 2.031 5.762
10.554 6.094 3.399
3.518 2.031 0.303
5.862 1.739 1.596
5.610 6.240 1.596
9.635 4.208 1.597
8.199 5.798 4.689
7.958 2.187 4.689
4.951 4.202 4.689
```